No. 1
! Zr2Ge (PBE, optimized geometry); values from VASP
&SYSTEM
  ibrav = 0, nat = 6, ntyp = 2
/
ATOMIC_SPECIES
Zr 91.22 Zr.upf
Ge 72.64 Ge.upf
CELL_PARAMETERS angstrom
-2.9418 -4.2046 6.6064
5.3023 -3.1605 5.6458
0.4647 3.3648 7.6446
ATOMIC_POSITIONS angstrom
Zr 3.7105 -3.0804 10.2842
Zr 1.2917 0.1823 11.2836
Zr 1.0594 -1.5001 7.4613
Zr -0.4115 -3.6024 10.7645
Ge 0.7063 -1.0001 4.9742
Ge 1.4126 -2.0002 9.9484
! Space-group type: Fd-3m (227)

***

No. 2
! Zr2Ge (PBE, optimized geometry); values from VASP
&SYSTEM
  ibrav = 0, nat = 12, ntyp = 2
/
ATOMIC_SPECIES
Ge 72.64 Ge.upf
Zr 91.22 Zr.upf
CELL_PARAMETERS angstrom
-4.7043 2.0800 -0.6342
0.6852 -1.3015 -9.3510
-2.0955 -4.5912 0.4855
ATOMIC_POSITIONS angstrom
Ge -4.6516 -1.2095 -5.0412
Zr -2.1087 0.4122 -5.2033
Ge -4.8911 -0.7546 -1.7728
Zr 0.1835 -0.4140 -3.1230
Zr -2.3657 0.9005 -1.6954
Zr -2.0599 -2.4929 -5.9919
Zr -4.3521 -1.6667 -8.0722
Zr -2.7277 -1.8857 -3.1315
Ge -4.6670 2.0554 -0.7056
Ge -4.2214 1.2089 -6.7882
Zr -1.4409 -0.1950 -8.0637
Zr -2.4880 -1.6797 -0.1488
! Space-group type: Pmmn (59)

***

No. 3
! ZrGe (PBE, optimized geometry); values from VASP
&SYSTEM
  ibrav = 0, nat = 4, ntyp = 2
/
ATOMIC_SPECIES
Ge 72.64 Ge.upf
Zr 91.22 Zr.upf
CELL_PARAMETERS angstrom
3.8187 0.0000 0.0000
-1.9094 3.3071 0.0000
0.0000 0.0000 6.8320
ATOMIC_POSITIONS angstrom
Ge 0.0000 2.2047 1.7080
Ge 1.9093 1.1024 5.1240
Zr 0.0000 0.0000 0.0000
Zr 0.0000 0.0000 3.4160
! Space-group type: P6_3/mmc (194)

***

No. 4
! ZrGe (PBE, optimized geometry); values from VASP
&SYSTEM
  ibrav = 0, nat = 12, ntyp = 2
/
ATOMIC_SPECIES
Ge 72.64 Ge.upf
Zr 91.22 Zr.upf
CELL_PARAMETERS angstrom
-1.0406 -3.8870 3.8847
7.6632 -3.1081 -1.0582
1.7534 3.1053 3.5769
ATOMIC_POSITIONS angstrom
Ge 5.9232 -1.9232 2.3322
Zr 3.2678 -0.8517 2.7037
Ge 1.8607 -2.1859 0.9856
Zr 4.3827 -2.1281 -0.3008
Zr 6.9269 -4.2421 0.2872
Ge 0.9240 -1.0066 3.9871
Ge 3.5599 -3.1192 4.5291
Zr 6.2122 -4.2004 4.1675
Ge 5.8684 -5.9665 2.3032
Zr 0.8019 -3.9119 3.0030
Ge 1.3997 0.9550 2.0509
Zr 3.8683 -4.0741 1.6408
! Space-group type: Pmc2_1 (26)

***

No. 5
! ZrGe (PBE, optimized geometry); values from VASP
&SYSTEM
  ibrav = 0, nat = 8, ntyp = 2
/
ATOMIC_SPECIES
Zr 91.22 Zr.upf
Ge 72.64 Ge.upf
CELL_PARAMETERS angstrom
5.0998 0.0000 0.0000
0.0000 6.1776 0.0000
0.0000 0.0000 5.0043
ATOMIC_POSITIONS angstrom
Zr 4.8625 3.0888 0.0000
Ge 4.4262 4.5962 2.5021
Ge 4.9314 0.0000 0.0000
Zr 2.3818 1.4183 0.0000
Ge 1.8723 0.0000 2.5021
Zr 2.3818 4.7593 0.0000
Zr 1.9168 3.0888 2.5021
Ge 4.4262 1.5815 2.5021
! Space-group type: Pmm2 (25)

***

No. 6
! ZrGe2 (PBE, optimized geometry); values from VASP
&SYSTEM
  ibrav = 0, nat = 6, ntyp = 2
/
ATOMIC_SPECIES
Ge 72.64 Ge.upf
Zr 91.22 Zr.upf
CELL_PARAMETERS angstrom
0.0000 3.8269 3.8269
3.8269 0.0000 3.8269
3.8269 3.8269 0.0000
ATOMIC_POSITIONS angstrom
Ge 4.7836 4.7836 4.7836
Ge 2.8702 2.8702 4.7836
Ge 4.7836 2.8702 2.8702
Zr 0.0000 0.0000 0.0000
Ge 2.8702 4.7836 2.8702
Zr 1.9135 1.9135 1.9135
! Space-group type: Fd-3m (227)

***

Computed VASP energy (eV/cell) in order:
-31.40, -90.32, -28.63, -85.18, -54.79, -35.57